## PmSmErTm2 (PBE)

Data for a relaxed PmSmErTm2 crystal. Values from VASP.

Summary:
**ΔE_f**: 1.780 eV per formula unit
**Density**: 7.91 g/cm3

Cell and atoms, written as Quantum ESPRESSO input:
```
&SYSTEM
  ibrav = 0, nat = 10, ntyp = 4
/
ATOMIC_SPECIES
Pm 145.00 Pm.upf
Sm 150.36 Sm.upf
Er 167.26 Er.upf
Tm 168.93 Tm.upf
CELL_PARAMETERS angstrom
-3.609 4.363 -2.897
-4.944 -4.007 0.123
0.203 5.030 7.323
ATOMIC_POSITIONS angstrom
Pm -4.929 1.161 4.398
Pm -3.421 4.225 0.151
Sm -4.086 0.037 1.655
Sm -4.263 5.349 2.894
Er -6.322 2.794 1.609
Er -2.028 2.592 2.939
Tm -3.039 1.181 -1.418
Tm -3.709 -3.006 0.092
Tm -5.513 -0.825 -1.356
Tm -1.235 -1.001 0.031
```